(w)
The following is a DFT calculation (GGA-PBE) of a relaxed TmHfPb crystal.

Summary:
- spin magnetization (μB/f.u.) = 0.00

```
TmHfPb
1.0
-1.654 1.654 7.094
1.654 -1.654 7.094
1.654 1.654 -7.094
Tm Hf Pb
1 1 1
Direct
0.000 0.000 0.000 Tm
0.659 0.659 0.000 Hf
0.323 0.323 0.000 Pb
```

---

(x)
The following is a DFT calculation (GGA-PBE) of a relaxed TmHfPb crystal.

Summary:
- spin magnetization (μB/f.u.) = 1.00

```
TmHfPb
1.0
5.206 0.000 0.000
-2.603 4.508 0.000
0.000 0.000 3.355
Tm Hf Pb
1 1 1
Direct
0.000 0.000 0.000 Tm
0.333 0.667 0.500 Hf
0.667 0.333 0.500 Pb
```

---

(y)
The following is a DFT calculation (GGA-PBE) of a relaxed TmHfPb crystal.

Summary:
- spin magnetization (μB/f.u.) = 0.00

```
TmHfPb
1.0
-2.181 2.181 8.197
2.181 -2.181 8.197
2.181 2.181 -8.197
Tm Hf Pb
2 2 2
Direct
0.169 0.169 0.000 Tm
0.831 0.831 0.000 Tm
0.000 0.500 0.500 Hf
0.500 0.000 0.500 Hf
0.362 0.362 0.000 Pb
0.638 0.638 0.000 Pb
```

---

(z)
The following is a DFT calculation (GGA-PBE) of a relaxed TmHfPb crystal.

Summary:
- spin magnetization (μB/f.u.) = 0.00

```
TmHfPb
1.0
3.833 0.000 0.000
0.000 3.833 0.000
0.000 0.000 10.950
Tm Hf Pb
2 2 2
Direct
0.250 0.250 0.230 Tm
0.750 0.750 0.770 Tm
0.250 0.250 0.941 Hf
0.750 0.750 0.059 Hf
0.250 0.250 0.587 Pb
0.750 0.750 0.413 Pb
```

---

Which structure loses on stability? (x) does.

---

(w)
The following is a DFT calculation (GGA-PBE) of a relaxed HfVPb2 crystal.

Summary:
- spin magnetization (μB/f.u.) = 1.77

```
HfVPb2
1.0
0.000 3.543 3.543
3.543 0.000 3.543
3.543 3.543 0.000
Hf V Pb
1 1 2
Direct
0.000 0.000 0.000 Hf
0.500 0.500 0.500 V
0.250 0.250 0.250 Pb
0.750 0.750 0.750 Pb
```

---

(x)
The following is a DFT calculation (GGA-PBE) of a relaxed HfVPb2 crystal.

Summary:
- spin magnetization (μB/f.u.) = 1.54

```
HfVPb2
1.0
-3.919 3.919 3.088
3.919 -3.919 3.088
3.919 3.919 -3.088
Hf V Pb
2 2 4
Direct
0.000 0.000 0.000 Hf
0.750 0.250 0.500 Hf
0.250 0.750 0.500 V
0.500 0.500 0.000 V
0.144 0.625 0.019 Pb
0.375 0.394 0.519 Pb
0.606 0.125 0.981 Pb
0.875 0.856 0.481 Pb
```

---

Which structure loses on stability? (x) does.

---

(w)
The following is a DFT calculation (GGA-PBE) of a relaxed HfV3Pb crystal.

Summary:
- spin magnetization (μB/f.u.) = 1.55

```
HfV3Pb
1.0
4.871 0.000 0.000
0.000 4.871 0.000
0.000 0.000 4.871
Hf V Pb
1 3 1
Direct
0.000 0.000 0.000 Hf
0.000 0.500 0.500 V
0.500 0.000 0.500 V
0.500 0.500 0.000 V
0.500 0.500 0.500 Pb
```

---

(x)
The following is a DFT calculation (GGA-PBE) of a relaxed HfV3Pb crystal.

Summary:
- spin magnetization (μB/f.u.) = 0.00

```
HfV3Pb
1.0
4.706 0.000 0.000
0.000 4.706 0.000
0.000 0.000 4.706
Hf V Pb
1 3 1
Direct
0.000 0.000 0.000 Hf
0.000 0.000 0.500 V
0.000 0.500 0.000 V
0.500 0.000 0.000 V
0.500 0.500 0.500 Pb
```

---

Which structure loses on stability? (w) does.

---

(w)
The following is a DFT calculation (GGA-PBE) of a relaxed HfPb2W crystal.

Summary:
- spin magnetization (μB/f.u.) = 1.73

```
HfPb2W
1.0
-3.992 3.992 3.031
3.992 -3.992 3.031
3.992 3.992 -3.031
Hf Pb W
2 4 2
Direct
0.000 0.000 0.000 Hf
0.750 0.250 0.500 Hf
0.141 0.625 0.016 Pb
0.375 0.391 0.516 Pb
0.609 0.125 0.984 Pb
0.875 0.859 0.484 Pb
0.250 0.750 0.500 W
0.500 0.500 0.000 W
```

---

(x)
The following is a DFT calculation (GGA-PBE) of a relaxed HfPb2W crystal.

Summary:
- spin magnetization (μB/f.u.) = 0.00

```
HfPb2W
1.0
0.000 3.492 3.492
3.492 0.000 3.492
3.492 3.492 0.000
Hf Pb W
1 2 1
Direct
0.000 0.000 0.000 Hf
0.250 0.250 0.250 Pb
0.750 0.750 0.750 Pb
0.500 0.500 0.500 W
```

---

Which structure loses on stability? (w) does.

---

(w)
The following is a DFT calculation (GGA-PBE) of a relaxed YHfPb2 crystal.

Summary:
- spin magnetization (μB/f.u.) = 1.29

```
YHfPb2
1.0
0.000 3.738 3.738
3.738 0.000 3.738
3.738 3.738 0.000
Y Hf Pb
1 1 2
Direct
0.000 0.000 0.000 Y
0.500 0.500 0.500 Hf
0.250 0.250 0.250 Pb
0.750 0.750 0.750 Pb
```

---

(x)
The following is a DFT calculation (GGA-PBE) of a relaxed YHfPb2 crystal.

Summary:
- spin magnetization (μB/f.u.) = 0.00

```
YHfPb2
1.0
4.848 0.000 0.000
0.000 4.848 0.000
0.000 0.000 4.392
Y Hf Pb
1 1 2
Direct
0.000 0.000 0.000 Y
0.500 0.500 0.000 Hf
0.000 0.500 0.500 Pb
0.500 0.000 0.500 Pb
```

---

Which structure loses on stability? (w) does.

---

(w)
The following is a DFT calculation (GGA-PBE) of a relaxed YHfPb2 crystal.

Summary:
- spin magnetization (μB/f.u.) = 0.49

```
YHfPb2
1.0
3.402 0.000 0.000
0.000 3.402 0.000
0.000 0.000 8.867
Y Hf Pb
1 1 2
Direct
0.000 0.000 0.000 Y
0.000 0.000 0.500 Hf
0.500 0.500 0.262 Pb
0.500 0.500 0.738 Pb
```

---

(x)
The following is a DFT calculation (GGA-PBE) of a relaxed YHfPb2 crystal.

Summary:
- spin magnetization (μB/f.u.) = 0.00

```
YHfPb2
1.0
2.433 1.405 5.260
-2.433 1.405 5.260
0.000 -2.809 5.260
Y Hf Pb
1 1 2
Direct
0.000 0.000 0.000 Y
0.500 0.500 0.500 Hf
0.242 0.242 0.242 Pb
0.758 0.758 0.758 Pb
```

---

Which structure loses on stability? (x) does.

---

(w)
The following is a DFT calculation (GGA-PBE) of a relaxed YHf3Pb crystal.

Summary:
- spin magnetization (μB/f.u.) = 0.01

```
YHf3Pb
1.0
5.238 0.000 0.000
0.000 5.238 0.000
0.000 0.000 5.238
Y Hf Pb
1 3 1
Direct
0.000 0.000 0.000 Y
0.000 0.000 0.500 Hf
0.000 0.500 0.000 Hf
0.500 0.000 0.000 Hf
0.500 0.500 0.500 Pb
```

---

(x)
The following is a DFT calculation (GGA-PBE) of a relaxed YHf3Pb crystal.

Summary:
- spin magnetization (μB/f.u.) = 0.00

```
YHf3Pb
1.0
5.377 0.000 0.000
0.000 5.377 0.000
0.000 0.000 5.377
Y Hf Pb
1 3 1
Direct
0.000 0.000 0.000 Y
0.000 0.500 0.500 Hf
0.500 0.000 0.500 Hf
0.500 0.500 0.000 Hf
0.500 0.500 0.500 Pb
```

---

Which structure loses on stability? (w) does.

---

(w)
The following is a DFT calculation (GGA-PBE) of a relaxed Y3HfPb crystal.

Summary:
- spin magnetization (μB/f.u.) = 0.00

```
Y3HfPb
1.0
5.553 0.000 0.000
0.000 5.553 0.000
0.000 0.000 5.553
Y Hf Pb
3 1 1
Direct
0.000 0.000 0.500 Y
0.000 0.500 0.000 Y
0.500 0.000 0.000 Y
0.000 0.000 0.000 Hf
0.500 0.500 0.500 Pb
```

---

(x)
The following is a DFT calculation (GGA-PBE) of a relaxed Y3HfPb crystal.

Summary:
- spin magnetization (μB/f.u.) = 3.65

```
Y3HfPb
1.0
5.699 0.000 0.000
0.000 5.699 0.000
0.000 0.000 5.699
Y Hf Pb
3 1 1
Direct
0.000 0.000 0.500 Y
0.000 0.500 0.000 Y
0.500 0.000 0.000 Y
0.500 0.500 0.500 Hf
0.000 0.000 0.000 Pb
```

---

Which structure loses on stability? (x) does.